Model one:
# PBE La3CdGe, relaxed
# Size of the total moment, Bohr magnetons per cell: 1.17
# Crystal system: cubic
data_La3CdGe
_chemical_formula_sum 'La3 Cd1 Ge1'
_space_group_name_H-M_alt 'P m -3 m'
_space_group_IT_number 221
_space_group_name_Hall '-P 4 2 3'
_cell_length_a 5.768
_cell_length_b 5.768
_cell_length_c 5.768
_cell_angle_alpha 90.00
_cell_angle_beta 90.00
_cell_angle_gamma 90.00
loop_
_atom_site_label
_atom_site_fract_x
_atom_site_fract_y
_atom_site_fract_z
_atom_site_occupancy
La1 0.000 0.000 0.500 1
Cd1 0.500 0.500 0.500 1
Ge1 0.000 0.000 0.000 1

***

Model two:
# PBE La3CdGe, relaxed
# Size of the total moment, Bohr magnetons per cell: 0.00
# Crystal system: triclinic
data_La3CdGe
_chemical_formula_sum 'La6 Cd2 Ge2'
_space_group_name_H-M_alt 'P -1'
_space_group_IT_number 2
_cell_length_a 4.272
_cell_length_b 7.441
_cell_length_c 9.954
_cell_angle_alpha 88.90
_cell_angle_beta 89.74
_cell_angle_gamma 73.60
loop_
_space_group_symop_operation_xyz
'x,y,z'
'-x,-y,-z'
loop_
_atom_site_label
_atom_site_fract_x
_atom_site_fract_y
_atom_site_fract_z
_atom_site_occupancy
La1 0.047 0.401 0.152 1
La2 0.244 0.012 0.827 1
La3 0.420 0.649 0.375 1
Cd1 0.190 0.129 0.429 1
Ge1 0.392 0.717 0.071 1

***

Least stable = model one

***

Model one:
# PBE LaCd2Ge2, relaxed
# Size of the total moment, Bohr magnetons per cell: 0.00
# Crystal system: tetragonal
data_LaCd2Ge2
_chemical_formula_sum 'La2 Cd4 Ge4'
_space_group_name_H-M_alt 'I 4/m m m'
_space_group_IT_number 139
_space_group_name_Hall '-I 4 2'
_cell_length_a 4.832
_cell_length_b 4.832
_cell_length_c 10.415
_cell_angle_alpha 90.00
_cell_angle_beta 90.00
_cell_angle_gamma 90.00
loop_
_atom_site_label
_atom_site_fract_x
_atom_site_fract_y
_atom_site_fract_z
_atom_site_occupancy
La1 0.000 0.000 0.000 1
Cd1 0.000 0.000 0.371 1
Ge1 0.000 0.500 0.250 1

***

Model two:
# PBE LaCd2Ge2, relaxed
# Size of the total moment, Bohr magnetons per cell: 0.00
# Crystal system: tetragonal
data_LaCd2Ge2
_chemical_formula_sum 'La2 Cd4 Ge4'
_space_group_name_H-M_alt 'P 4/m b m'
_space_group_IT_number 127
_space_group_name_Hall '-P 4 2ab'
_cell_length_a 8.296
_cell_length_b 8.296
_cell_length_c 3.402
_cell_angle_alpha 90.00
_cell_angle_beta 90.00
_cell_angle_gamma 90.00
loop_
_atom_site_label
_atom_site_fract_x
_atom_site_fract_y
_atom_site_fract_z
_atom_site_occupancy
La1 0.000 0.000 0.000 1
Cd1 0.120 0.380 0.000 1
Ge1 0.181 0.681 0.500 1

***

Model three:
# PBE LaCd2Ge2, relaxed
# Size of the total moment, Bohr magnetons per cell: 0.00
# Crystal system: tetragonal
data_LaCd2Ge2
_chemical_formula_sum 'La2 Cd4 Ge4'
_space_group_name_H-M_alt 'I 4/m m m'
_space_group_IT_number 139
_space_group_name_Hall '-I 4 2'
_cell_length_a 4.335
_cell_length_b 4.335
_cell_length_c 12.474
_cell_angle_alpha 90.00
_cell_angle_beta 90.00
_cell_angle_gamma 90.00
loop_
_atom_site_label
_atom_site_fract_x
_atom_site_fract_y
_atom_site_fract_z
_atom_site_occupancy
La1 0.000 0.000 0.000 1
Cd1 0.000 0.500 0.250 1
Ge1 0.000 0.000 0.398 1

***

Least stable = model two

***

Model one:
# PBE LiCd2Ge2, relaxed
# Size of the total moment, Bohr magnetons per cell: 0.00
# Crystal system: tetragonal
data_LiCd2Ge2
_chemical_formula_sum 'Li2 Cd4 Ge4'
_space_group_name_H-M_alt 'P 4/m b m'
_space_group_IT_number 127
_space_group_name_Hall '-P 4 2ab'
_cell_length_a 7.200
_cell_length_b 7.200
_cell_length_c 4.077
_cell_angle_alpha 90.00
_cell_angle_beta 90.00
_cell_angle_gamma 90.00
loop_
_atom_site_label
_atom_site_fract_x
_atom_site_fract_y
_atom_site_fract_z
_atom_site_occupancy
Li1 0.000 0.000 0.000 1
Cd1 0.180 0.320 0.500 1
Ge1 0.126 0.626 0.000 1

***

Model two:
# PBE LiCd2Ge2, relaxed
# Size of the total moment, Bohr magnetons per cell: 0.00
# Crystal system: tetragonal
data_LiCd2Ge2
_chemical_formula_sum 'Li2 Cd4 Ge4'
_space_group_name_H-M_alt 'P 4/m b m'
_space_group_IT_number 127
_space_group_name_Hall '-P 4 2ab'
_cell_length_a 8.030
_cell_length_b 8.030
_cell_length_c 3.364
_cell_angle_alpha 90.00
_cell_angle_beta 90.00
_cell_angle_gamma 90.00
loop_
_atom_site_label
_atom_site_fract_x
_atom_site_fract_y
_atom_site_fract_z
_atom_site_occupancy
Li1 0.000 0.000 0.000 1
Cd1 0.134 0.366 0.000 1
Ge1 0.168 0.668 0.500 1

***

Model three:
# PBE LiCd2Ge2, relaxed
# Size of the total moment, Bohr magnetons per cell: 0.00
# Crystal system: tetragonal
data_LiCd2Ge2
_chemical_formula_sum 'Li2 Cd4 Ge4'
_space_group_name_H-M_alt 'I 4/m m m'
_space_group_IT_number 139
_space_group_name_Hall '-I 4 2'
_cell_length_a 4.474
_cell_length_b 4.474
_cell_length_c 11.445
_cell_angle_alpha 90.00
_cell_angle_beta 90.00
_cell_angle_gamma 90.00
loop_
_atom_site_label
_atom_site_fract_x
_atom_site_fract_y
_atom_site_fract_z
_atom_site_occupancy
Li1 0.000 0.000 0.000 1
Cd1 0.000 0.500 0.250 1
Ge1 0.000 0.000 0.394 1

***

Model four:
# PBE LiCd2Ge2, relaxed
# Size of the total moment, Bohr magnetons per cell: 0.00
# Crystal system: tetragonal
data_LiCd2Ge2
_chemical_formula_sum 'Li2 Cd4 Ge4'
_space_group_name_H-M_alt 'I 4/m m m'
_space_group_IT_number 139
_space_group_name_Hall '-I 4 2'
_cell_length_a 4.071
_cell_length_b 4.071
_cell_length_c 13.385
_cell_angle_alpha 90.00
_cell_angle_beta 90.00
_cell_angle_gamma 90.00
loop_
_atom_site_label
_atom_site_fract_x
_atom_site_fract_y
_atom_site_fract_z
_atom_site_occupancy
Li1 0.000 0.000 0.000 1
Cd1 0.000 0.000 0.398 1
Ge1 0.000 0.500 0.250 1

***

Least stable = model two

***

Model one:
# PBE Li2CdGe2, relaxed
# Size of the total moment, Bohr magnetons per cell: 0.00
# Crystal system: tetragonal
data_Li2CdGe2
_chemical_formula_sum 'Li4 Cd2 Ge4'
_space_group_name_H-M_alt 'I 4/m m m'
_space_group_IT_number 139
_space_group_name_Hall '-I 4 2'
_cell_length_a 3.986
_cell_length_b 3.986
_cell_length_c 11.882
_cell_angle_alpha 90.00
_cell_angle_beta 90.00
_cell_angle_gamma 90.00
loop_
_atom_site_label
_atom_site_fract_x
_atom_site_fract_y
_atom_site_fract_z
_atom_site_occupancy
Li1 0.000 0.500 0.250 1
Cd1 0.000 0.000 0.000 1
Ge1 0.000 0.000 0.399 1

***

Model two:
# PBE Li2CdGe2, relaxed
# Size of the total moment, Bohr magnetons per cell: 0.00
# Crystal system: tetragonal
data_Li2CdGe2
_chemical_formula_sum 'Li4 Cd2 Ge4'
_space_group_name_H-M_alt 'P 4/m b m'
_space_group_IT_number 127
_space_group_name_Hall '-P 4 2ab'
_cell_length_a 7.526
_cell_length_b 7.526
_cell_length_c 3.235
_cell_angle_alpha 90.00
_cell_angle_beta 90.00
_cell_angle_gamma 90.00
loop_
_atom_site_label
_atom_site_fract_x
_atom_site_fract_y
_atom_site_fract_z
_atom_site_occupancy
Li1 0.177 0.323 0.000 1
Cd1 0.000 0.000 0.000 1
Ge1 0.120 0.620 0.500 1

***

Least stable = model one

***

Model one:
# PBE Li2CdGe2, relaxed
# Size of the total moment, Bohr magnetons per cell: 0.00
# Crystal system: tetragonal
data_Li2CdGe2
_chemical_formula_sum 'Li4 Cd2 Ge4'
_space_group_name_H-M_alt 'P 4/m b m'
_space_group_IT_number 127
_space_group_name_Hall '-P 4 2ab'
_cell_length_a 7.594
_cell_length_b 7.594
_cell_length_c 3.123
_cell_angle_alpha 90.00
_cell_angle_beta 90.00
_cell_angle_gamma 90.00
loop_
_atom_site_label
_atom_site_fract_x
_atom_site_fract_y
_atom_site_fract_z
_atom_site_occupancy
Li1 0.183 0.317 0.000 1
Cd1 0.000 0.000 0.500 1
Ge1 0.117 0.617 0.500 1

***

Model two:
# PBE Li2CdGe2, relaxed
# Size of the total moment, Bohr magnetons per cell: 0.00
# Crystal system: monoclinic
data_Li2CdGe2
_chemical_formula_sum 'Li8 Cd4 Ge8'
_space_group_name_H-M_alt 'C 1 2/m 1'
_space_group_IT_number 12
_cell_length_a 10.073
_cell_length_b 4.482
_cell_length_c 9.236
_cell_angle_alpha 90.00
_cell_angle_beta 112.94
_cell_angle_gamma 90.00
loop_
_space_group_symop_operation_xyz
'x,y,z'
'-x,-y,-z'
'-x,y,-z'
'x,-y,z'
'x+1/2,y+1/2,z'
'-x+1/2,-y+1/2,-z'
'-x+1/2,y+1/2,-z'
'x+1/2,-y+1/2,z'
loop_
_atom_site_label
_atom_site_fract_x
_atom_site_fract_y
_atom_site_fract_z
_atom_site_occupancy
Li1 0.017 0.000 0.317 1
Li2 0.158 0.000 0.069 1
Cd1 0.224 0.500 0.354 1
Ge1 0.045 0.500 0.879 1
Ge2 0.114 0.500 0.626 1

***

Least stable = model two

***

Model one:
# PBE Li8Cd2Ge, relaxed
# Size of the total moment, Bohr magnetons per cell: 0.00
# Crystal system: monoclinic
data_Li8Cd2Ge
_chemical_formula_sum 'Li16 Cd4 Ge2'
_space_group_name_H-M_alt 'C 1 2/m 1'
_space_group_IT_number 12
_cell_length_a 7.470
_cell_length_b 13.022
_cell_length_c 4.544
_cell_angle_alpha 90.00
_cell_angle_beta 111.11
_cell_angle_gamma 90.00
loop_
_space_group_symop_operation_xyz
'x,y,z'
'-x,-y,-z'
'-x,y,-z'
'x,-y,z'
'x+1/2,y+1/2,z'
'-x+1/2,-y+1/2,-z'
'-x+1/2,y+1/2,-z'
'x+1/2,-y+1/2,z'
loop_
_atom_site_label
_atom_site_fract_x
_atom_site_fract_y
_atom_site_fract_z
_atom_site_occupancy
Li1 0.000 0.199 0.000 1
Li2 0.131 0.500 0.816 1
Li3 0.188 0.103 0.616 1
Cd1 0.000 0.314 0.500 1
Ge1 0.000 0.000 0.000 1

***

Model two:
# PBE Li8Cd2Ge, relaxed
# Size of the total moment, Bohr magnetons per cell: 0.00
# Crystal system: monoclinic
data_Li8Cd2Ge
_chemical_formula_sum 'Li16 Cd4 Ge2'
_space_group_name_H-M_alt 'C 1 2/m 1'
_space_group_IT_number 12
_cell_length_a 14.891
_cell_length_b 4.481
_cell_length_c 5.732
_cell_angle_alpha 90.00
_cell_angle_beta 96.21
_cell_angle_gamma 90.00
loop_
_space_group_symop_operation_xyz
'x,y,z'
'-x,-y,-z'
'-x,y,-z'
'x,-y,z'
'x+1/2,y+1/2,z'
'-x+1/2,-y+1/2,-z'
'-x+1/2,y+1/2,-z'
'x+1/2,-y+1/2,z'
loop_
_atom_site_label
_atom_site_fract_x
_atom_site_fract_y
_atom_site_fract_z
_atom_site_occupancy
Li1 0.035 0.000 0.262 1
Li2 0.089 0.500 0.934 1
Li3 0.142 0.000 0.662 1
Li4 0.169 0.500 0.404 1
Cd1 0.217 0.000 0.146 1
Ge1 0.000 0.500 0.500 1

***

Least stable = model one

***

Model one:
# PBE Li3Cd4Ge, relaxed
# Size of the total moment, Bohr magnetons per cell: 0.00
# Crystal system: triclinic
data_Li3Cd4Ge
_chemical_formula_sum 'Li3 Cd4 Ge1'
_space_group_name_H-M_alt 'P -1'
_space_group_IT_number 2
_cell_length_a 3.075
_cell_length_b 4.234
_cell_length_c 12.258
_cell_angle_alpha 99.01
_cell_angle_beta 96.83
_cell_angle_gamma 90.11
loop_
_space_group_symop_operation_xyz
'x,y,z'
'-x,-y,-z'
loop_
_atom_site_label
_atom_site_fract_x
_atom_site_fract_y
_atom_site_fract_z
_atom_site_occupancy
Li1 0.000 0.000 0.000 1
Li2 0.148 0.656 0.303 1
Cd1 0.284 0.780 0.566 1
Cd2 0.410 0.903 0.813 1
Ge1 0.500 0.500 0.000 1

***

Model two:
# PBE Li3Cd4Ge, relaxed
# Size of the total moment, Bohr magnetons per cell: 0.00
# Crystal system: monoclinic
data_Li3Cd4Ge
_chemical_formula_sum 'Li6 Cd8 Ge2'
_space_group_name_H-M_alt 'C 1 2/m 1'
_space_group_IT_number 12
_cell_length_a 24.492
_cell_length_b 3.013
_cell_length_c 4.855
_cell_angle_alpha 90.00
_cell_angle_beta 101.26
_cell_angle_gamma 90.00
loop_
_space_group_symop_operation_xyz
'x,y,z'
'-x,-y,-z'
'-x,y,-z'
'x,-y,z'
'x+1/2,y+1/2,z'
'-x+1/2,-y+1/2,-z'
'-x+1/2,y+1/2,-z'
'x+1/2,-y+1/2,z'
loop_
_atom_site_label
_atom_site_fract_x
_atom_site_fract_y
_atom_site_fract_z
_atom_site_occupancy
Li1 0.000 0.000 0.000 1
Li2 0.224 0.000 0.724 1
Cd1 0.102 0.000 0.606 1
Cd2 0.170 0.000 0.173 1
Ge1 0.000 0.500 0.500 1

***

Least stable = model two

***

Model one:
# PBE Li8CdGe2, relaxed
# Size of the total moment, Bohr magnetons per cell: 0.00
# Crystal system: orthorhombic
data_Li8CdGe2
_chemical_formula_sum 'Li16 Cd2 Ge4'
_space_group_name_H-M_alt 'I m m m'
_space_group_IT_number 71
_space_group_name_Hall '-I 2 2'
_cell_length_a 4.502
_cell_length_b 6.249
_cell_length_c 13.444
_cell_angle_alpha 90.00
_cell_angle_beta 90.00
_cell_angle_gamma 90.00
loop_
_atom_site_label
_atom_site_fract_x
_atom_site_fract_y
_atom_site_fract_z
_atom_site_occupancy
Li1 0.000 0.000 0.169 1
Li2 0.000 0.225 0.334 1
Li3 0.000 0.294 0.000 1
Cd1 0.000 0.500 0.500 1
Ge1 0.000 0.500 0.180 1

***

Model two:
# PBE Li8CdGe2, relaxed
# Size of the total moment, Bohr magnetons per cell: 0.00
# Crystal system: orthorhombic
data_Li8CdGe2
_chemical_formula_sum 'Li16 Cd2 Ge4'
_space_group_name_H-M_alt 'I m m m'
_space_group_IT_number 71
_space_group_name_Hall '-I 2 2'
_cell_length_a 4.555
_cell_length_b 7.866
_cell_length_c 10.590
_cell_angle_alpha 90.00
_cell_angle_beta 90.00
_cell_angle_gamma 90.00
loop_
_atom_site_label
_atom_site_fract_x
_atom_site_fract_y
_atom_site_fract_z
_atom_site_occupancy
Li1 0.000 0.000 0.142 1
Li2 0.000 0.193 0.334 1
Li3 0.000 0.317 0.000 1
Cd1 0.000 0.500 0.500 1
Ge1 0.000 0.500 0.222 1

***

Least stable = model two